*one*
This record from Alexandria via LeMat-Bulk describes crystalline CsTi2Cd2 at its relaxed geometry. The functional is PBE-GGA.

Summary:
DOS(E_F)   1.665 states/eV per atom
SG   No. 139
Density   5.16 g/cm³
V   29.16 A^3/atom
Total moment   0.0 Bohr magnetons per cell

Structure (extended XYZ):
```
5
Lattice="-0.037 -2.949 -2.302 3.726 -0.235 0.241 0.915 -7.968 7.153" Properties=species:S:1:pos:R:3 pbc="T T T"
Cd 1.589 -3.347 1.223
Cd 3.015 -7.804 3.869
Cs 0.000 0.000 0.000
Ti 3.243 -4.897 3.181
Ti 1.361 -6.254 1.910
```

***

*two*
This record from Alexandria via LeMat-Bulk describes crystalline CsTi2Cd2 at its relaxed geometry. The functional is PBE-GGA.

Summary:
DOS(E_F)   1.521 states/eV per atom
SG   No. 127
Density   5.57 g/cm³
V   27.05 A^3/atom
Total moment   7.4 Bohr magnetons per cell

Structure (extended XYZ):
```
10
Lattice="9.336 0.000 0.000 0.000 9.336 0.000 0.000 0.000 3.104" Properties=species:S:1:pos:R:3 pbc="T T T"
Ti 0.948 5.616 1.552
Ti 5.616 8.387 1.552
Ti 8.387 3.720 1.552
Ti 3.720 0.948 1.552
Cd 3.015 7.683 0.000
Cd 1.653 3.015 0.000
Cd 6.321 1.653 0.000
Cd 7.683 6.321 0.000
Cs 4.668 4.668 0.000
Cs 0.000 0.000 0.000
```

***

Energy ordering: *one* at the bottom, the next structure 0.100 eV/atom above.